(1)
Computed, not measured: crystalline HfRe2O at its relaxed geometry at the GGA-PBE level of DFT.

Results
electronic total energy: -10.06 eV per atom
magnetic moment: 0.000 μB per atom
ΔE_f (raw): -112 meV per atom

Cell: 7.194 7.194 5.572 Å, 49.79 49.79 90.00°
Sites, in units of the cell vectors:
Re 0.533 0.125 0.250
Re 0.217 0.625 0.250
Re 0.375 0.467 0.750
Re 0.875 0.783 0.750
Hf 0.000 0.000 0.000
Hf 0.750 0.250 0.500
O 0.500 0.500 0.000
O 0.250 0.750 0.500

=====

(2)
Computed, not measured: crystalline CaInN2F at its relaxed geometry at the GGA-PBE level of DFT.

Results
electronic total energy: -4.45 eV per atom
magnetic moment: 0.800 μB per atom
ΔE_f (raw): 201 meV per atom

Cell: 4.808 4.808 4.327 Å, 90.00 90.00 90.00°
Last column: magnetic moment on the atom in μB.
Sites, in units of the cell vectors:
N 0.000 0.500 0.000  1.25
N 0.500 0.000 0.000  1.25
Ca 0.000 0.000 0.000  0.02
F 0.000 0.000 0.500  0.05
In 0.500 0.500 0.500  0.10

=====

The calculation returns the following DOS at the Fermi energy values, one per record and in order: 0.71 0.59 states/eV per atom.